This record from the Alexandria database describes CsRbVF6 after structural relaxation. The functional is PBE with a Hubbard U.

```
CsRbVF6
1.0
5.3620 -3.0490 0.0000
5.3620 3.0490 0.0000
-0.0085 0.0000 5.0667
Cs Rb V F
1 1 1 6
direct
0.0000 0.0000 0.0000
0.3360 0.3360 0.5895
0.6678 0.6678 0.3093
0.3794 0.8131 0.5242
0.5176 0.5176 0.1060
0.5221 0.9579 0.0962
0.8131 0.3794 0.5242
0.8165 0.8165 0.5161
0.9579 0.5221 0.0962
```

Calculated values
size of the total moment = 1.0 μB per cell
electronic total energy = -5.1560 eV per atom
volume = 18.41 A^3/atom